(1)
{
  "formula": "PrHo3Au2",
  "functional": "PBE-GGA",
  "state": "relaxed",
  "cell": [[8.1370, -2.5990, 0.0000], [8.1370, 2.5990, 0.0000], [-3.5385, 0.0000, 7.7836]],
  "species": ["Pr", "Pr", "Ho", "Ho", "Ho", "Ho", "Ho", "Ho", "Au", "Au", "Au", "Au"],
  "frac_coords": [[0.1343, 0.1343, 0.2005], [0.8657, 0.8657, 0.7995], [0.0638, 0.0638, 0.7328], [0.3055, 0.3055, 0.0048], [0.3731, 0.3731, 0.4927], [0.6269, 0.6269, 0.5073], [0.6945, 0.6945, 0.9952], [0.9362, 0.9362, 0.2672], [0.2158, 0.2158, 0.6284], [0.4957, 0.4957, 0.1616], [0.5043, 0.5043, 0.8384], [0.7842, 0.7842, 0.3716]],
  "magmom_total_mub_per_cell": 0.00,
  "energy_ev_per_fu": -28.06,
  "e_above_lowest_polymorph_kcal_per_mol_atoms": 2.659,
  "dos_at_fermi_per_ev_atom": 0.9432,
  "space_group": "C2/m, No. 12"
}

***

(2)
{
  "formula": "KCe2F7",
  "functional": "PBE-GGA",
  "state": "relaxed",
  "cell": [[-2.1377, 2.1377, 8.5706], [2.1377, -2.1377, 8.5706], [2.1377, 2.1377, -8.5706]],
  "species": ["K", "Ce", "Ce", "F", "F", "F", "F", "F", "F", "F"],
  "frac_coords": [[0.0000, 0.0000, 0.0000], [0.3484, 0.3484, 0.0000], [0.6516, 0.6516, 0.0000], [0.1009, 0.6009, 0.5000], [0.2500, 0.7500, 0.5000], [0.3991, 0.8991, 0.5000], [0.5000, 0.5000, 0.0000], [0.6009, 0.1009, 0.5000], [0.7500, 0.2500, 0.5000], [0.8991, 0.3991, 0.5000]],
  "formation_energy_uncorrected_ev_per_atom": -3.69,
  "magmom_total_mub_per_cell": 2.00,
  "energy_ev_per_fu": -62.94,
  "dos_at_fermi_per_ev_atom": 0.8643,
  "space_group": "I4/mmm, No. 139"
}

***

(3)
{
  "formula": "Cd3MoI",
  "functional": "PBE-GGA",
  "state": "relaxed",
  "cell": [[5.9444, 0.0000, 0.0000], [0.0000, 5.9444, 0.0000], [0.0000, 0.0000, 5.9444]],
  "species": ["Cd", "Cd", "Cd", "Mo", "I"],
  "frac_coords": [[0.0000, 0.0000, 0.5000], [0.0000, 0.5000, 0.0000], [0.5000, 0.0000, 0.0000], [0.5000, 0.5000, 0.5000], [0.0000, 0.0000, 0.0000]],
  "formation_energy_uncorrected_ev_per_atom": 1.49,
  "magmom_total_mub_per_cell": 5.17,
  "energy_ev_per_fu": -7.70,
  "e_above_lowest_polymorph_kcal_per_mol_atoms": 16.471,
  "dos_at_fermi_per_ev_atom": 0.5072,
  "space_group": "Pm-3m, No. 221"
}

***

(4)
{
  "formula": "CaHg2Cl",
  "functional": "PBE-GGA",
  "state": "relaxed",
  "cell": [[-1.9946, 2.8362, 5.0776], [1.9946, -2.8362, 5.0776], [1.9946, 2.8362, -5.0776]],
  "species": ["Ca", "Hg", "Hg", "Cl"],
  "frac_coords": [[0.0000, 0.0000, 0.0000], [0.4756, 0.4756, 0.0000], [0.7392, 0.2392, 0.5000], [0.1761, 0.6761, 0.5000]],
  "formation_energy_uncorrected_ev_per_atom": -0.81,
  "magmom_total_mub_per_cell": 0.00,
  "energy_ev_per_fu": -7.71,
  "e_above_lowest_polymorph_kcal_per_mol_atoms": 1.276,
  "dos_at_fermi_per_ev_atom": 0.5117,
  "space_group": "Imm2, No. 44"
}

***

(5)
{
  "formula": "CeY2Rh",
  "functional": "PBE-GGA",
  "state": "relaxed",
  "cell": [[1.7573, 1.0146, 10.5698], [-1.7573, 1.0146, 10.5698], [0.0000, -2.0292, 10.5698]],
  "species": ["Ce", "Y", "Y", "Rh"],
  "frac_coords": [[0.0000, 0.0000, 0.0000], [0.1070, 0.1070, 0.1070], [0.8930, 0.8930, 0.8930], [0.5000, 0.5000, 0.5000]],
  "magmom_total_mub_per_cell": 1.09,
  "energy_ev_per_fu": -26.54,
  "e_above_lowest_polymorph_kcal_per_mol_atoms": 8.702,
  "dos_at_fermi_per_ev_atom": 2.0375,
  "space_group": "R-3m, No. 166"
}

***

(6)
{
  "formula": "In2SeF",
  "functional": "PBE-GGA",
  "state": "relaxed",
  "cell": [[2.5206, 1.4553, 6.1997], [-2.5206, 1.4553, 6.1997], [0.0000, -2.9106, 6.1997]],
  "species": ["In", "In", "Se", "F"],
  "frac_coords": [[0.1181, 0.1181, 0.1181], [0.8819, 0.8819, 0.8819], [0.5000, 0.5000, 0.5000], [0.0000, 0.0000, 0.0000]],
  "formation_energy_uncorrected_ev_per_atom": -0.89,
  "magmom_total_mub_per_cell": 0.00,
  "energy_ev_per_fu": -14.38,
  "e_above_lowest_polymorph_kcal_per_mol_atoms": 0.274,
  "dos_at_fermi_per_ev_atom": 0.4779,
  "space_group": "R-3m, No. 166"
}

***

(7)
{
  "formula": "NaLiTlCl4",
  "functional": "PBE-GGA",
  "state": "relaxed",
  "cell": [[-3.9819, 4.1059, 5.6349], [3.9819, -4.1059, 5.6349], [3.9819, 4.1059, -5.6349]],
  "species": ["Na", "Na", "Li", "Li", "Tl", "Tl", "Cl", "Cl", "Cl", "Cl", "Cl", "Cl", "Cl", "Cl"],
  "frac_coords": [[0.5000, 0.0000, 0.0000], [0.5000, 0.5000, 0.5000], [0.1103, 0.3603, 0.7500], [0.8897, 0.6397, 0.2500], [0.0000, 0.0000, 0.0000], [0.5000, 0.0000, 0.5000], [0.2492, 0.2576, 0.5083], [0.2492, 0.7409, 0.9917], [0.2544, 0.7491, 0.5053], [0.2561, 0.2509, 0.0053], [0.7439, 0.7491, 0.9947], [0.7456, 0.2509, 0.4947], [0.7508, 0.2591, 0.0083], [0.7508, 0.7424, 0.4917]],
  "formation_energy_uncorrected_ev_per_atom": -1.30,
  "magmom_total_mub_per_cell": 0.00,
  "energy_ev_per_fu": -22.09,
  "dos_at_fermi_per_ev_atom": 0.6458,
  "space_group": "Imma, No. 74"
}

***

(8)
{
  "formula": "TbPmEr4",
  "functional": "PBE-GGA",
  "state": "relaxed",
  "cell": [[4.4871, 0.0000, 0.0000], [0.0000, 4.4871, 0.0000], [0.0000, 0.0000, 11.0360]],
  "species": ["Tb", "Pm", "Er", "Er", "Er", "Er"],
  "frac_coords": [[0.0000, 0.0000, 0.0000], [0.5000, 0.5000, 0.5000], [0.0000, 0.5000, 0.2477], [0.0000, 0.5000, 0.7523], [0.5000, 0.0000, 0.2477], [0.5000, 0.0000, 0.7523]],
  "magmom_total_mub_per_cell": 0.00,
  "energy_ev_per_fu": -23.77,
  "e_above_lowest_polymorph_kcal_per_mol_atoms": 8.977,
  "dos_at_fermi_per_ev_atom": 1.9617,
  "space_group": "P4/mmm, No. 123"
}

***

(9)
{
  "formula": "Pr3ErIn",
  "functional": "PBE-GGA",
  "state": "relaxed",
  "cell": [[2.4754, -12.8969, 0.0000], [2.4754, 12.8969, 0.0000], [0.0000, 0.0000, 4.9469]],
  "species": ["Pr", "Pr", "Pr", "Pr", "Pr", "Pr", "Er", "Er", "In", "In"],
  "frac_coords": [[0.0543, 0.9457, 0.7500], [0.2507, 0.7493, 0.7500], [0.4433, 0.5567, 0.7500], [0.5567, 0.4433, 0.2500], [0.7493, 0.2507, 0.2500], [0.9457, 0.0543, 0.2500], [0.3479, 0.6521, 0.2500], [0.6521, 0.3479, 0.7500], [0.1535, 0.8465, 0.2500], [0.8465, 0.1535, 0.7500]],
  "magmom_total_mub_per_cell": 0.00,
  "energy_ev_per_fu": -22.57,
  "e_above_lowest_polymorph_kcal_per_mol_atoms": 0.000,
  "dos_at_fermi_per_ev_atom": 1.1814,
  "space_group": "Cmcm, No. 63"
}

***

(10)
{
  "formula": "KBaSi4",
  "functional": "PBE-GGA",
  "state": "relaxed",
  "cell": [[0.0000, 4.2113, 4.2113], [4.2113, 0.0000, 4.2113], [4.2113, 4.2113, 0.0000]],
  "species": ["K", "Ba", "Si", "Si", "Si", "Si"],
  "frac_coords": [[0.0000, 0.0000, 0.0000], [0.2500, 0.2500, 0.2500], [0.1858, 0.6047, 0.6047], [0.6047, 0.1858, 0.6047], [0.6047, 0.6047, 0.1858], [0.6047, 0.6047, 0.6047]],
  "formation_energy_uncorrected_ev_per_atom": 0.05,
  "magmom_total_mub_per_cell": 0.00,
  "energy_ev_per_fu": -24.41,
  "e_above_lowest_polymorph_kcal_per_mol_atoms": 2.579,
  "dos_at_fermi_per_ev_atom": 1.0903,
  "space_group": "F-43m, No. 216"
}

***

(11)
{
  "formula": "Ca2MnOs",
  "functional": "PBE-GGA",
  "state": "relaxed",
  "cell": [[3.1052, -4.4900, 0.0000], [3.1052, 4.4900, 0.0000], [-0.0079, 0.0000, 2.9907]],
  "species": ["Ca", "Ca", "Mn", "Os"],
  "frac_coords": [[0.0000, 0.5000, 0.0000], [0.5000, 0.0000, 0.0000], [0.0000, 0.0000, 0.5000], [0.5000, 0.5000, 0.5000]],
  "magmom_total_mub_per_cell": 3.77,
  "energy_ev_per_fu": -21.67,
  "e_above_lowest_polymorph_kcal_per_mol_atoms": 7.939,
  "dos_at_fermi_per_ev_atom": 1.0224,
  "space_group": "C2/m, No. 12"
}

***

(12)
{
  "formula": "LaCeMnC",
  "functional": "PBE-GGA",
  "state": "relaxed",
  "cell": [[3.7209, 0.0000, 0.0000], [0.0000, 3.7209, 0.0000], [0.0000, 0.0000, 11.5525]],
  "species": ["La", "La", "Ce", "Ce", "Mn", "Mn", "C", "C"],
  "frac_coords": [[0.2500, 0.2500, 0.2010], [0.7500, 0.7500, 0.7990], [0.2500, 0.7500, 0.5000], [0.7500, 0.2500, 0.5000], [0.2500, 0.7500, 0.0000], [0.7500, 0.2500, 0.0000], [0.2500, 0.2500, 0.9351], [0.7500, 0.7500, 0.0649]],
  "magmom_total_mub_per_cell": 1.95,
  "energy_ev_per_fu": -28.79,
  "dos_at_fermi_per_ev_atom": 1.2039,
  "space_group": "P4/nmm, No. 129"
}